[1]
{
  "formula": "TlAg2AsRh",
  "functional": "meta-GGA SCAN",
  "state": "single point on PBEsol structure",
  "energy_ev_per_atom": -36.923,
  "formation_enthalpy_0k_ev_per_atom": 0.89,
  "n_ef_per_ev_cell": 2.28,
  "cell": [[-3.678, -0.769, -2.774], [2.589, -2.851, -2.642], [-1.427, -4.103, 3.029]],
  "species": ["Tl", "Rh", "As", "Ag", "Ag"],
  "fractional_positions": [[0.000, 0.000, 0.500], [0.500, 0.500, 0.500], [0.000, 0.000, 0.000], [0.000, 0.500, 0.000], [0.500, 0.000, 0.000]]
}

=====

[2]
{
  "formula": "AgAs2Ru",
  "functional": "meta-GGA SCAN",
  "state": "single point on PBEsol structure",
  "energy_ev_per_atom": -26.620,
  "formation_enthalpy_0k_ev_per_atom": 0.02,
  "polymorph_energy_mev_per_atom": 0,
  "n_ef_per_ev_cell": 1.68,
  "cell": [[2.906, 0.000, 0.000], [0.000, 3.851, 0.000], [-1.453, -1.926, 6.126]],
  "species": ["Ru", "As", "As", "Ag"],
  "fractional_positions": [[0.472, 0.472, 0.944], [0.030, 0.030, 0.060], [0.808, 0.308, 0.617], [0.190, 0.690, 0.380]]
}

=====

[3]
{
  "formula": "AgAs2Ru",
  "functional": "meta-GGA SCAN",
  "state": "single point on PBEsol structure",
  "energy_ev_per_atom": -26.451,
  "formation_enthalpy_0k_ev_per_atom": 0.19,
  "polymorph_energy_mev_per_atom": 169,
  "n_ef_per_ev_cell": 3.21,
  "cell": [[2.857, 0.000, 0.000], [0.000, 4.646, 0.000], [-1.429, -2.323, 5.428]],
  "species": ["Ru", "As", "As", "Ag"],
  "fractional_positions": [[0.500, 0.000, 0.000], [0.816, 0.816, 0.632], [0.184, 0.184, 0.368], [0.000, 0.500, 0.000]]
}

=====

[4]
{
  "formula": "AgAsS2",
  "functional": "meta-GGA SCAN",
  "state": "single point on PBEsol structure",
  "energy_ev_per_atom": -17.864,
  "raw_formation_energy_ev_per_atom": -0.161,
  "cell": [[-5.186, 6.136, -2.688], [-0.170, -6.290, -5.672], [-2.993, -2.972, 7.347]],
  "species": ["Ag", "Ag", "Ag", "Ag", "Ag", "Ag", "As", "As", "As", "As", "As", "As", "S", "S", "S", "S", "S", "S", "S", "S", "S", "S", "S", "S"],
  "fractional_positions": [[0.740, 0.910, 0.323], [0.910, 0.323, 0.740], [0.323, 0.740, 0.910], [0.260, 0.090, 0.677], [0.090, 0.677, 0.260], [0.677, 0.260, 0.090], [0.360, 0.432, 0.148], [0.852, 0.640, 0.568], [0.640, 0.568, 0.852], [0.432, 0.148, 0.360], [0.148, 0.360, 0.432], [0.568, 0.852, 0.640], [0.067, 0.347, 0.140], [0.347, 0.140, 0.067], [0.140, 0.067, 0.347], [0.933, 0.653, 0.860], [0.653, 0.860, 0.933], [0.860, 0.933, 0.653], [0.250, 0.388, 0.851], [0.388, 0.851, 0.250], [0.149, 0.750, 0.612], [0.750, 0.612, 0.149], [0.612, 0.149, 0.750], [0.851, 0.250, 0.388]]
}

=====

[5]
{
  "formula": "AgAsS2",
  "functional": "meta-GGA SCAN",
  "state": "single point on PBEsol structure",
  "energy_ev_per_atom": -17.665,
  "raw_formation_energy_ev_per_atom": 0.039,
  "n_ef_per_ev_cell": 0.28,
  "cell": [[5.467, 0.000, 0.000], [0.000, 5.467, 0.000], [-2.734, -2.734, 6.195]],
  "species": ["As", "As", "S", "S", "S", "S", "Ag", "Ag"],
  "fractional_positions": [[0.750, 0.250, 0.500], [0.500, 0.500, 0.000], [0.864, 0.375, 0.250], [0.386, 0.875, 0.250], [0.625, 0.614, 0.750], [0.125, 0.136, 0.750], [0.250, 0.750, 0.500], [0.000, 0.000, 0.000]]
}

=====

[6]
{
  "formula": "Ag7AsS6",
  "functional": "meta-GGA SCAN",
  "state": "single point on PBEsol structure",
  "energy_ev_per_atom": -21.377,
  "raw_formation_energy_ev_per_atom": -0.125,
  "cell": [[-6.147, 3.968, 7.273], [-5.461, -8.751, 0.159], [6.231, -3.755, 7.315]],
  "species": ["Ag", "Ag", "Ag", "Ag", "Ag", "Ag", "Ag", "Ag", "Ag", "Ag", "Ag", "Ag", "Ag", "Ag", "Ag", "Ag", "Ag", "Ag", "Ag", "Ag", "Ag", "Ag", "Ag", "Ag", "Ag", "Ag", "Ag", "Ag", "As", "As", "As", "As", "S", "S", "S", "S", "S", "S", "S", "S", "S", "S", "S", "S", "S", "S", "S", "S", "S", "S", "S", "S", "S", "S", "S", "S"],
  "fractional_positions": [[0.152, 0.175, 0.487], [0.652, 0.325, 0.513], [0.848, 0.675, 0.013], [0.325, 0.513, 0.652], [0.013, 0.848, 0.675], [0.513, 0.652, 0.325], [0.175, 0.487, 0.152], [0.487, 0.152, 0.175], [0.675, 0.013, 0.848], [0.825, 0.987, 0.348], [0.987, 0.348, 0.825], [0.348, 0.825, 0.987], [0.258, 0.969, 0.761], [0.758, 0.531, 0.239], [0.742, 0.469, 0.739], [0.531, 0.239, 0.758], [0.739, 0.742, 0.469], [0.239, 0.758, 0.531], [0.969, 0.761, 0.258], [0.761, 0.258, 0.969], [0.469, 0.739, 0.742], [0.031, 0.261, 0.242], [0.261, 0.242, 0.031], [0.242, 0.031, 0.261], [0.596, 0.904, 0.096], [0.904, 0.096, 0.596], [0.096, 0.596, 0.904], [0.404, 0.404, 0.404], [0.998, 0.502, 0.498], [0.502, 0.498, 0.998], [0.498, 0.998, 0.502], [0.002, 0.002, 0.002], [0.369, 0.123, 0.616], [0.869, 0.377, 0.384], [0.631, 0.623, 0.884], [0.377, 0.384, 0.869], [0.884, 0.631, 0.623], [0.384, 0.869, 0.377], [0.123, 0.616, 0.369], [0.616, 0.369, 0.123], [0.623, 0.884, 0.631], [0.877, 0.116, 0.131], [0.116, 0.131, 0.877], [0.131, 0.877, 0.116], [0.729, 0.771, 0.229], [0.536, 0.536, 0.536], [0.771, 0.229, 0.729], [0.271, 0.271, 0.271], [0.122, 0.378, 0.622], [0.378, 0.622, 0.122], [0.622, 0.122, 0.378], [0.878, 0.878, 0.878], [0.464, 0.036, 0.964], [0.036, 0.964, 0.464], [0.964, 0.464, 0.036], [0.229, 0.729, 0.771]]
}

=====

[7]
{
  "formula": "AgAsS2",
  "functional": "meta-GGA SCAN",
  "state": "single point on PBEsol structure",
  "energy_ev_per_atom": -17.861,
  "raw_formation_energy_ev_per_atom": -0.158,
  "n_ef_per_ev_cell": 0.00,
  "cell": [[-0.420, -1.983, 3.683], [4.976, -2.767, -3.322], [6.815, 8.828, 5.528]],
  "species": ["As", "As", "As", "As", "S", "S", "S", "S", "S", "S", "S", "S", "Ag", "Ag", "Ag", "Ag"],
  "fractional_positions": [[0.222, 0.521, 0.632], [0.701, 0.479, 0.868], [0.778, 0.479, 0.368], [0.299, 0.521, 0.132], [0.236, 0.220, 0.920], [0.016, 0.780, 0.580], [0.764, 0.780, 0.080], [0.984, 0.220, 0.420], [0.575, 0.297, 0.195], [0.723, 0.297, 0.695], [0.425, 0.703, 0.805], [0.277, 0.703, 0.305], [0.500, 0.000, 0.000], [0.935, 0.000, 0.750], [0.500, 0.000, 0.500], [0.065, 0.000, 0.250]]
}

=====

[8]
{
  "formula": "AgAs2SeS",
  "functional": "meta-GGA SCAN",
  "state": "single point on PBEsol structure",
  "energy_ev_per_atom": -19.495,
  "raw_formation_energy_ev_per_atom": 0.796,
  "n_ef_per_ev_cell": 2.98,
  "cell": [[4.695, 0.000, 0.000], [0.000, 4.695, 0.000], [0.000, 0.000, 4.887]],
  "species": ["S", "As", "As", "Se", "Ag"],
  "fractional_positions": [[0.000, 0.000, 0.000], [0.000, 0.500, 0.000], [0.500, 0.000, 0.000], [0.000, 0.000, 0.500], [0.500, 0.500, 0.500]]
}

=====

[9]
{
  "formula": "AgAsSe2S",
  "functional": "meta-GGA SCAN",
  "state": "single point on PBEsol structure",
  "energy_ev_per_atom": -19.141,
  "raw_formation_energy_ev_per_atom": 1.128,
  "n_ef_per_ev_cell": 5.80,
  "cell": [[-0.025, 4.803, -0.861], [-4.855, 0.062, 0.491], [0.502, 0.873, 4.856]],
  "species": ["S", "As", "Se", "Se", "Ag"],
  "fractional_positions": [[0.500, 0.500, 0.500], [0.000, 0.000, 0.500], [0.000, 0.500, 0.000], [0.500, 0.000, 0.000], [0.000, 0.000, 0.000]]
}

=====

[10]
{
  "formula": "AgSbAs",
  "functional": "meta-GGA SCAN",
  "state": "single point on PBEsol structure",
  "energy_ev_per_atom": -29.336,
  "raw_formation_energy_ev_per_atom": 0.270,
  "polymorph_energy_mev_per_atom": 40,
  "n_ef_per_ev_cell": 1.28,
  "cell": [[-2.733, 0.868, -0.863], [-1.685, -2.923, 2.396], [2.019, 4.464, 3.292]],
  "species": ["Sb", "As", "Ag"],
  "fractional_positions": [[0.359, 0.359, 0.719], [0.624, 0.624, 0.248], [0.017, 0.017, 0.034]]
}

=====

[11]
{
  "formula": "Ag2SbAs2",
  "functional": "meta-GGA SCAN",
  "state": "single point on PBEsol structure",
  "energy_ev_per_atom": -27.760,
  "raw_formation_energy_ev_per_atom": 0.315,
  "n_ef_per_ev_cell": 2.31,
  "cell": [[-0.137, 4.385, -0.328], [-0.804, 0.298, 4.315], [5.768, -2.103, -1.023]],
  "species": ["Sb", "As", "As", "Ag", "Ag"],
  "fractional_positions": [[0.000, 0.000, 0.000], [0.388, 0.388, 0.775], [0.612, 0.612, 0.225], [0.250, 0.750, 0.500], [0.750, 0.250, 0.500]]
}